Entry from Alexandria: a relaxed NaLiLa2N crystal (PBE-GGA).

a b c (Å): 5.111 5.111 4.763
angles (deg): 90.00 90.00 90.00
Sites, in units of the cell vectors:
Na  0.500  0.500  0.500
N  0.000  0.000  0.000
Li  0.000  0.000  0.500
La  0.000  0.500  0.000
La  0.500  0.000  0.000

**Crystal system**: tetragonal
**Formation energy without anion corrections**: -295 meV per atom
**Theoretical density**: 4.29 g/cm3
**ΔE to the lowest computed polymorph**: 0.134 eV/f.u.
**Density of states at the Fermi level**: 4.49 states/eV/f.u.

Entry from Alexandria: a relaxed LiLaNb4N8 crystal (PBE-GGA).

a b c (Å): 6.413 6.413 6.469
angles (deg): 60.29 60.29 60.00
Sites, in units of the cell vectors:
Li  0.999  0.999  0.004
La  0.380  0.380  0.860
Nb  0.623  0.623  0.132
Nb  0.003  0.484  0.511
Nb  0.484  0.003  0.511
Nb  0.003  0.003  0.511
N  0.238  0.816  0.707
N  0.816  0.238  0.707
N  0.238  0.238  0.707
N  0.235  0.235  0.295
N  0.737  0.250  0.276
N  0.250  0.737  0.276
N  0.737  0.737  0.276
N  0.759  0.759  0.724

**Crystal system**: trigonal
**Formation energy without anion corrections**: -804 meV per atom
**Theoretical density**: 5.53 g/cm3